{
  "formula": "Hg2MoCl",
  "functional": "meta-GGA SCAN",
  "state": "PBEsol geometry",
  "final_energy_ev_per_cell": -176.6,
  "relative_energy_mev_per_atom": 321,
  "raw_formation_energy_ev_per_fu": 2.6,
  "vol_a3_per_fu": 78.2,
  "m_tot_mub_per_atom": 0.918,
  "lattice": [[0.000, 3.394, 3.394], [3.394, 0.000, 3.394], [3.394, 3.394, 0.000]],
  "species": ["Hg", "Hg", "Mo", "Cl"],
  "fractional_positions": [[0.000, 0.000, 0.000], [0.250, 0.250, 0.250], [0.750, 0.750, 0.750], [0.500, 0.500, 0.500]]
}



{
  "formula": "Mn3P2",
  "functional": "meta-GGA SCAN",
  "state": "PBEsol geometry",
  "final_energy_ev_per_cell": -77.8,
  "e_form_kj_per_mol_fu": -219,
  "vol_a3_per_fu": 60.6,
  "m_tot_mub_per_atom": 0.891,
  "lattice": [[3.679, 0.000, 0.000], [-1.840, 3.186, 0.000], [0.000, 0.000, 5.169]],
  "species": ["Mn", "Mn", "Mn", "P", "P"],
  "fractional_positions": [[0.000, 0.000, 0.000], [0.333, 0.667, 0.330], [0.667, 0.333, 0.670], [0.333, 0.667, 0.760], [0.667, 0.333, 0.240]]
}



{
  "formula": "MgNbMoS2",
  "functional": "meta-GGA SCAN",
  "state": "PBEsol geometry",
  "final_energy_ev_per_cell": -90.1,
  "raw_formation_energy_ev_per_fu": 2.2,
  "vol_a3_per_fu": 111.7,
  "m_tot_mub_per_atom": 0.606,
  "lattice": [[4.754, 0.000, 0.000], [0.000, 4.754, 0.000], [0.000, 0.000, 4.941]],
  "species": ["Mg", "Nb", "Mo", "S", "S"],
  "fractional_positions": [[0.000, 0.000, 0.000], [0.500, 0.500, 0.500], [0.500, 0.500, 0.000], [0.000, 0.500, 0.500], [0.500, 0.000, 0.500]]
}